Entry 1:
Here is a geometry-optimized ScAgSnTe3 structure from OQMD via LeMat-Bulk. Energies are from PBE.

Geometry as CIF:
```
data_ScAgSnTe3
_space_group_name_H-M_alt 'P 1'
_space_group_IT_number 1
_space_group_name_Hall 'P 1'
_cell_length_a 13.454
_cell_length_b 4.183
_cell_length_c 12.884
_cell_angle_alpha 90.00
_cell_angle_beta 90.00
_cell_angle_gamma 90.00
loop_
_atom_site_label
_atom_site_fract_x
_atom_site_fract_y
_atom_site_fract_z
Sc1 0.019 0.250 0.159
Sc2 0.481 0.750 0.659
Sc3 0.519 0.250 0.341
Sc4 0.981 0.750 0.841
Ag1 0.202 0.750 0.395
Ag2 0.298 0.250 0.895
Ag3 0.702 0.750 0.105
Ag4 0.798 0.250 0.605
Sn1 0.185 0.250 0.567
Sn2 0.315 0.750 0.067
Sn3 0.685 0.250 0.933
Sn4 0.815 0.750 0.433
Te1 0.011 0.750 0.323
Te2 0.100 0.250 0.945
Te3 0.235 0.250 0.211
Te4 0.265 0.750 0.711
Te5 0.400 0.750 0.445
Te6 0.489 0.250 0.823
Te7 0.511 0.750 0.177
Te8 0.600 0.250 0.555
Te9 0.735 0.250 0.289
Te10 0.765 0.750 0.789
Te11 0.900 0.750 0.055
Te12 0.989 0.250 0.677
```

Space-group type: Pnma (62)
Final energy (eV/atom): -4.31

***

Entry 2:
Here is a geometry-optimized ScAgSnTe3 structure from OQMD via LeMat-Bulk. Energies are from PBE.

Geometry as CIF:
```
data_ScAgSnTe3
_space_group_name_H-M_alt 'P 1'
_space_group_IT_number 1
_space_group_name_Hall 'P 1'
_cell_length_a 7.563
_cell_length_b 7.563
_cell_length_c 10.868
_cell_angle_alpha 90.00
_cell_angle_beta 90.00
_cell_angle_gamma 147.65
loop_
_atom_site_label
_atom_site_fract_x
_atom_site_fract_y
_atom_site_fract_z
Sc1 0.000 0.000 0.000
Sc2 0.000 0.000 0.500
Ag1 0.468 0.532 0.750
Ag2 0.532 0.468 0.250
Sn1 0.227 0.773 0.250
Sn2 0.773 0.227 0.750
Te1 0.094 0.906 0.750
Te2 0.356 0.644 0.544
Te3 0.356 0.644 0.956
Te4 0.644 0.356 0.044
Te5 0.644 0.356 0.456
Te6 0.906 0.094 0.250
```

Space-group type: Cmcm (63)
Final energy (eV/atom): -4.32

***

Entry 3:
Here is a geometry-optimized YScAg2Sn2 structure from OQMD via LeMat-Bulk. Energies are from PBE.

Geometry as CIF:
```
data_YScAg2Sn2
_space_group_name_H-M_alt 'P 1'
_space_group_IT_number 1
_space_group_name_Hall 'P 1'
_cell_length_a 9.372
_cell_length_b 4.685
_cell_length_c 14.054
_cell_angle_alpha 90.00
_cell_angle_beta 109.43
_cell_angle_gamma 90.00
loop_
_atom_site_label
_atom_site_fract_x
_atom_site_fract_y
_atom_site_fract_z
Y1 0.000 0.000 0.000
Y2 0.124 0.500 0.747
Y3 0.250 0.000 0.497
Y4 0.502 0.000 0.000
Sc1 0.376 0.500 0.250
Sc2 0.627 0.500 0.748
Sc3 0.750 0.000 0.498
Sc4 0.876 0.500 0.250
Ag1 0.066 0.500 0.131
Ag2 0.187 0.000 0.874
Ag3 0.321 0.500 0.625
Ag4 0.442 0.000 0.371
Ag5 0.567 0.500 0.131
Ag6 0.686 0.000 0.868
Ag7 0.805 0.500 0.620
Ag8 0.931 0.000 0.371
Sn1 0.127 0.000 0.251
Sn2 0.253 0.500 0.003
Sn3 0.379 0.000 0.748
Sn4 0.503 0.500 0.496
Sn5 0.627 0.000 0.251
Sn6 0.751 0.500 0.999
Sn7 0.870 0.000 0.744
Sn8 0.995 0.500 0.496
```

Space-group type: Pm (6)
Final energy (eV/atom): -4.89

***

Entry 4:
Here is a geometry-optimized YScAg2Sn2 structure from OQMD via LeMat-Bulk. Energies are from PBE.

Geometry as CIF:
```
data_YScAg2Sn2
_space_group_name_H-M_alt 'P 1'
_space_group_IT_number 1
_space_group_name_Hall 'P 1'
_cell_length_a 4.666
_cell_length_b 4.666
_cell_length_c 7.154
_cell_angle_alpha 90.00
_cell_angle_beta 90.00
_cell_angle_gamma 120.00
loop_
_atom_site_label
_atom_site_fract_x
_atom_site_fract_y
_atom_site_fract_z
Y1 0.000 0.000 0.000
Sc1 0.000 0.000 0.501
Ag1 0.333 0.667 0.684
Ag2 0.667 0.333 0.196
Sn1 0.333 0.667 0.288
Sn2 0.667 0.333 0.772
```

Space-group type: P3m1 (156)
Final energy (eV/atom): -4.95

***

Entry 5:
Here is a geometry-optimized TbScAg structure from OQMD via LeMat-Bulk. Energies are from PBE.

Geometry as CIF:
```
data_TbScAg
_space_group_name_H-M_alt 'P 1'
_space_group_IT_number 1
_space_group_name_Hall 'P 1'
_cell_length_a 4.752
_cell_length_b 4.752
_cell_length_c 4.752
_cell_angle_alpha 60.00
_cell_angle_beta 60.00
_cell_angle_gamma 60.00
loop_
_atom_site_label
_atom_site_fract_x
_atom_site_fract_y
_atom_site_fract_z
Tb1 0.000 0.000 0.000
Sc1 0.750 0.750 0.750
Ag1 0.500 0.500 0.500
```

Space-group type: F-43m (216)
Calculated formation energy (eV/atom): 0.4951

***

Entry 6:
Here is a geometry-optimized TbScAg4 structure from OQMD via LeMat-Bulk. Energies are from PBE.

Geometry as CIF:
```
data_TbScAg4
_space_group_name_H-M_alt 'P 1'
_space_group_IT_number 1
_space_group_name_Hall 'P 1'
_cell_length_a 3.650
_cell_length_b 3.650
_cell_length_c 9.155
_cell_angle_alpha 90.00
_cell_angle_beta 90.00
_cell_angle_gamma 90.00
loop_
_atom_site_label
_atom_site_fract_x
_atom_site_fract_y
_atom_site_fract_z
Tb1 0.000 0.000 0.000
Sc1 0.500 0.500 0.500
Ag1 0.000 0.000 0.340
Ag2 0.000 0.000 0.660
Ag3 0.500 0.500 0.179
Ag4 0.500 0.500 0.821
```

Space-group type: P4/mmm (123)
Calculated formation energy (eV/atom): -0.3056